Compound: CaMg2Be
Source: Alexandria
Functional: PBE-GGA
Structure: optimized geometry

The density of states at the Fermi level comes out at 4.3 states/eV/cell. Its total magnetic moment is 0.0 μB per formula unit. Its formation energy from the elements is 0.47 eV per atom.

a b c (Å): 11.0640 11.0640 11.0640
angles (deg): 157.62 157.62 31.86
Atoms (fractional coordinates):
Ca (0.0000, 0.0000, 0.0000)
Ca (0.7500, 0.2500, 0.5000)
Mg (0.1567, 0.1250, 0.5317)
Mg (0.3750, 0.8433, 0.9683)
Mg (0.5933, 0.6250, 0.4683)
Mg (0.8750, 0.4067, 0.0317)
Be (0.2500, 0.7500, 0.5000)
Be (0.5000, 0.5000, 0.0000)

Compound: CaMg2Be2
Source: Alexandria
Functional: PBE-GGA
Structure: optimized geometry

The energy above the lowest structure with this stoichiometry comes out at 0 meV per atom. The density of states at the Fermi level comes out at 3.4 states/eV/cell. Its total magnetic moment is 0.0 μB per formula unit. Its formation energy from the elements is 0.22 eV per atom.

a b c (Å): 6.3998 6.3998 6.3998
angles (deg): 141.79 141.79 55.15
Atoms (fractional coordinates):
Ca (0.0000, 0.0000, 0.0000)
Mg (0.2500, 0.7500, 0.5000)
Mg (0.7500, 0.2500, 0.5000)
Be (0.4054, 0.4054, 0.0000)
Be (0.5946, 0.5946, 0.0000)

Compound: CaMg2Be
Source: Alexandria
Functional: PBE-GGA
Structure: optimized geometry

The density of states at the Fermi level comes out at 2.2 states/eV/cell. Its total magnetic moment is 0.0 μB per formula unit. Its formation energy from the elements is 0.23 eV per atom.

a b c (Å): 3.4929 4.4473 6.2081
angles (deg): 90.00 106.32 90.00
Atoms (fractional coordinates):
Ca (0.0000, 0.0000, 0.0000)
Mg (0.2709, 0.0000, 0.5484)
Mg (0.6832, 0.5000, 0.3692)
Be (0.3914, 0.5000, 0.7779)

Compound: CaMg2Be
Source: Alexandria
Functional: PBE-GGA
Structure: optimized geometry

The density of states at the Fermi level comes out at 3.8 states/eV/cell. Its total magnetic moment is 0.0 μB per formula unit. Its formation energy from the elements is 0.29 eV per atom.

a b c (Å): 4.3721 4.3721 4.7689
angles (deg): 90.00 90.00 90.00
Atoms (fractional coordinates):
Ca (0.0000, 0.0000, 0.0000)
Mg (0.0000, 0.5000, 0.5000)
Mg (0.5000, 0.0000, 0.5000)
Be (0.5000, 0.5000, 0.0000)

Compound: CaMg2Be
Source: Alexandria
Functional: PBE-GGA
Structure: optimized geometry

The density of states at the Fermi level comes out at 2.2 states/eV/cell. Its total magnetic moment is 0.0 μB per formula unit. Its formation energy from the elements is 0.22 eV per atom.

a b c (Å): 4.9636 4.9636 4.9636
angles (deg): 120.15 120.15 89.74
Atoms (fractional coordinates):
Ca (0.0000, 0.0000, 0.0000)
Mg (0.5000, 0.5000, 0.0000)
Mg (0.7500, 0.2500, 0.5000)
Be (0.2500, 0.7500, 0.5000)

Compound: CaMg2Be
Source: Alexandria
Functional: PBE-GGA
Structure: optimized geometry

The density of states at the Fermi level comes out at 2.0 states/eV/cell. Its total magnetic moment is 0.0 μB per formula unit. Its formation energy from the elements is 0.27 eV per atom.

a b c (Å): 3.4118 4.6520 5.9624
angles (deg): 90.00 103.61 90.00
Atoms (fractional coordinates):
Ca (0.0000, 0.0000, 0.0000)
Mg (0.3569, 0.5000, 0.7111)
Mg (0.6431, 0.5000, 0.2889)
Be (0.5000, 0.0000, 0.5000)